Entry 1:
Computed, not measured: crystalline Np3Zn3Ga8 at its relaxed geometry at the PBE-GGA level of DFT.

a = 4.2885 Å, b = 9.9687 Å, c = 12.2655 Å
α = 90.00°, β = 90.00°, γ = 90.00°
With the nearest neighbours (Å) after each atom.
Space group Immm (No. 71)
Symmetry-distinct sites (fractional):
Np: 0.0000 0.0000 0.0000 (multiplicity 2)  12 Ga 3.10-3.36
Np: 0.0000 0.0000 0.2889 (multiplicity 4)  4 Zn 3.09-3.36, 10 Ga 3.09-3.38
Zn: 0.0000 0.1694 0.5000 (multiplicity 4)  6 Ga 2.63-2.81, 2 Zn 2.73
Zn: 0.0000 0.5000 0.0000 (multiplicity 2)  4 Zn 2.73, 4 Ga 2.75
Ga: 0.0000 0.2876 0.1433 (multiplicity 8)  3 Ga 2.62-2.71, 3 Zn 2.75-2.81
Ga: 0.0000 0.3634 0.3552 (multiplicity 8)  4 Ga 2.62-2.72, 1 Zn 2.63



Entry 2:
Computed, not measured: crystalline Li2FeBiB at its relaxed geometry at the PBE-GGA level of DFT.

a = 4.2527 Å, b = 4.2527 Å, c = 4.9256 Å
α = 90.00°, β = 90.00°, γ = 90.00°
With the nearest neighbours (Å) after each atom.
Space group P4/mmm (No. 123)
Symmetry-distinct sites (fractional):
Li: 0.0000 0.5000 0.0000 (multiplicity 2)  2 B 2.13
Fe: 0.0000 0.0000 0.5000 (multiplicity 1)  4 Bi 3.01, 8 Li 3.25
Bi: 0.5000 0.5000 0.5000 (multiplicity 1)  2 B 2.46
B: 0.5000 0.5000 0.0000 (multiplicity 1)  4 Li 2.13



Entry 3:
Computed, not measured: crystalline TaReRu2 at its relaxed geometry at the PBE-GGA level of DFT.

a = 3.0958 Å, b = 4.4400 Å, c = 9.0065 Å
α = 90.00°, β = 90.00°, γ = 90.00°
With the nearest neighbours (Å) after each atom.
Space group Imm2 (No. 44)
Symmetry-distinct sites (fractional):
Ta: 0.0000 0.0000 0.0000 (multiplicity 2)  6 Ru 2.61-2.71, 2 Re 2.63
Re: 0.0000 0.5000 0.2640 (multiplicity 2)  2 Ta 2.63, 6 Ru 2.72-2.75
Ru: 0.0000 0.0000 0.5112 (multiplicity 2)  4 Ta 2.71, 2 Re 2.75, 4 Ru 2.94-2.99
Ru: 0.0000 0.5000 0.7338 (multiplicity 2)  2 Ta 2.61, 4 Re 2.72



Number 1: energy relative to the elements -0.109 eV/atom, Fermi-level density of states 27.40 states/eV/f.u., size of the total moment 0.950 μB/atom. Number 2: energy relative to the elements 0.803 eV/atom, Fermi-level density of states 5.49 states/eV/f.u., size of the total moment 0.653 μB/atom. Number 3: energy relative to the elements 0.056 eV/atom, Fermi-level density of states 3.65 states/eV/f.u., size of the total moment 0.000 μB/atom.